Run a
Compound: Ni3BPt
Source: the Alexandria database
Functional: PBE-GGA
Structure: optimized geometry

Values from the calculation:
Density, Mg/m³: 11.47
Total magnetization, Bohr magnetons per cell: 0.0

Structure (CIF):
```
data_Ni3BPt
_space_group_name_H-M_alt 'P 1'
_space_group_IT_number 1
_cell_length_a 4.405
_cell_length_b 5.383
_cell_length_c 5.383
_cell_angle_alpha 120.00
_cell_angle_beta 90.00
_cell_angle_gamma 90.00
loop_
_space_group_symop_operation_xyz
'x,y,z'
loop_
_atom_site_label
_atom_site_fract_x
_atom_site_fract_y
_atom_site_fract_z
Ni1 0.750 0.651 0.825
Ni2 0.250 0.825 0.651
Ni3 0.250 0.349 0.175
Ni4 0.750 0.175 0.349
Ni5 0.250 0.825 0.175
Ni6 0.750 0.175 0.825
B1 0.000 0.000 0.000
B2 0.500 0.000 0.000
Pt1 0.750 0.667 0.333
Pt2 0.250 0.333 0.667
```

Run b
Compound: Ni3BPt
Source: the Alexandria database
Functional: PBE-GGA
Structure: optimized geometry

Values from the calculation:
Density, Mg/m³: 11.78
Total magnetization, Bohr magnetons per cell: 0.0

Structure (CIF):
```
data_Ni3BPt
_space_group_name_H-M_alt 'P 1'
_space_group_IT_number 1
_cell_length_a 3.452
_cell_length_b 7.808
_cell_length_c 7.988
_cell_angle_alpha 90.00
_cell_angle_beta 90.00
_cell_angle_gamma 90.00
loop_
_space_group_symop_operation_xyz
'x,y,z'
loop_
_atom_site_label
_atom_site_fract_x
_atom_site_fract_y
_atom_site_fract_z
Ni1 0.250 0.261 0.443
Ni2 0.750 0.239 0.943
Ni3 0.750 0.739 0.557
Ni4 0.250 0.761 0.057
Ni5 0.250 0.337 0.767
Ni6 0.750 0.163 0.267
Ni7 0.750 0.663 0.233
Ni8 0.250 0.837 0.733
Ni9 0.250 0.069 0.083
Ni10 0.750 0.431 0.583
Ni11 0.750 0.931 0.917
Ni12 0.250 0.569 0.417
B1 0.250 0.084 0.828
B2 0.750 0.416 0.328
B3 0.750 0.916 0.172
B4 0.250 0.584 0.672
Pt1 0.250 0.414 0.131
Pt2 0.750 0.086 0.631
Pt3 0.750 0.586 0.869
Pt4 0.250 0.914 0.369
```

Run c
Compound: Ni3BPt
Source: the Alexandria database
Functional: PBE-GGA
Structure: optimized geometry

Values from the calculation:
Density, Mg/m³: 6.54
Total magnetization, Bohr magnetons per cell: 3.5

Structure (CIF):
```
data_Ni3BPt
_space_group_name_H-M_alt 'P 1'
_space_group_IT_number 1
_cell_length_a 4.594
_cell_length_b 4.594
_cell_length_c 4.594
_cell_angle_alpha 90.00
_cell_angle_beta 90.00
_cell_angle_gamma 90.00
loop_
_space_group_symop_operation_xyz
'x,y,z'
loop_
_atom_site_label
_atom_site_fract_x
_atom_site_fract_y
_atom_site_fract_z
Ni1 0.000 0.500 0.000
Ni2 0.000 0.000 0.500
Ni3 0.500 0.000 0.000
B1 0.500 0.500 0.500
Pt1 0.000 0.000 0.000
```

Run d
Compound: Ni3BPt
Source: the Alexandria database
Functional: PBE-GGA
Structure: optimized geometry

Values from the calculation:
Density, Mg/m³: 11.20
Total magnetization, Bohr magnetons per cell: 0.0

Structure (CIF):
```
data_Ni3BPt
_space_group_name_H-M_alt 'P 1'
_space_group_IT_number 1
_cell_length_a 3.841
_cell_length_b 3.841
_cell_length_c 3.841
_cell_angle_alpha 90.00
_cell_angle_beta 90.00
_cell_angle_gamma 90.00
loop_
_space_group_symop_operation_xyz
'x,y,z'
loop_
_atom_site_label
_atom_site_fract_x
_atom_site_fract_y
_atom_site_fract_z
Ni1 0.000 0.500 0.000
Ni2 0.000 0.000 0.500
Ni3 0.500 0.000 0.000
B1 0.000 0.000 0.000
Pt1 0.500 0.500 0.500
```

Preferred: run b; penalty for the next structure: 2.6 kJ/mol of atoms.

Run a
Compound: NiBPtRh2
Source: the Alexandria database
Functional: PBE-GGA
Structure: optimized geometry

Values from the calculation:
Density, Mg/m³: 12.06
Total magnetization, Bohr magnetons per cell: 0.0

Structure (CIF):
```
data_NiBPtRh2
_space_group_name_H-M_alt 'P 1'
_space_group_IT_number 1
_cell_length_a 4.078
_cell_length_b 4.078
_cell_length_c 3.894
_cell_angle_alpha 90.00
_cell_angle_beta 90.00
_cell_angle_gamma 90.00
loop_
_space_group_symop_operation_xyz
'x,y,z'
loop_
_atom_site_label
_atom_site_fract_x
_atom_site_fract_y
_atom_site_fract_z
Ni1 0.000 0.000 0.500
B1 0.000 0.000 0.000
Rh1 0.000 0.500 0.000
Rh2 0.500 0.000 0.000
Pt1 0.500 0.500 0.500
```

Run b
Compound: NiBPtRh2
Source: the Alexandria database
Functional: PBE-GGA
Structure: optimized geometry

Values from the calculation:
Density, Mg/m³: 10.54
Total magnetization, Bohr magnetons per cell: 0.9

Structure (CIF):
```
data_NiBPtRh2
_space_group_name_H-M_alt 'P 1'
_space_group_IT_number 1
_cell_length_a 4.563
_cell_length_b 3.560
_cell_length_c 4.563
_cell_angle_alpha 90.00
_cell_angle_beta 90.00
_cell_angle_gamma 90.00
loop_
_space_group_symop_operation_xyz
'x,y,z'
loop_
_atom_site_label
_atom_site_fract_x
_atom_site_fract_y
_atom_site_fract_z
Ni1 0.000 0.000 0.000
B1 0.000 0.500 0.000
Rh1 0.000 0.000 0.500
Rh2 0.500 0.000 0.000
Pt1 0.500 0.500 0.500
```

Preferred: run a; penalty for the next structure: 96.1 kJ/mol of atoms.

Run a
Compound: SrNiBPt2
Source: the Alexandria database
Functional: PBE-GGA
Structure: optimized geometry

Values from the calculation:
Density, Mg/m³: 11.32
Total magnetization, Bohr magnetons per cell: 0.0

Structure (CIF):
```
data_SrNiBPt2
_space_group_name_H-M_alt 'P 1'
_space_group_IT_number 1
_cell_length_a 4.360
_cell_length_b 4.360
_cell_length_c 4.223
_cell_angle_alpha 90.00
_cell_angle_beta 90.00
_cell_angle_gamma 90.00
loop_
_space_group_symop_operation_xyz
'x,y,z'
loop_
_atom_site_label
_atom_site_fract_x
_atom_site_fract_y
_atom_site_fract_z
Sr1 0.500 0.500 0.500
B1 0.000 0.000 0.000
Pt1 0.000 0.500 0.000
Pt2 0.500 0.000 0.000
Ni1 0.000 0.000 0.500
```

Run b
Compound: SrNiBPt2
Source: the Alexandria database
Functional: PBE-GGA
Structure: optimized geometry

Values from the calculation:
Density, Mg/m³: 10.16
Total magnetization, Bohr magnetons per cell: 0.0

Structure (CIF):
```
data_SrNiBPt2
_space_group_name_H-M_alt 'P 1'
_space_group_IT_number 1
_cell_length_a 4.107
_cell_length_b 5.302
_cell_length_c 4.107
_cell_angle_alpha 90.00
_cell_angle_beta 90.00
_cell_angle_gamma 90.00
loop_
_space_group_symop_operation_xyz
'x,y,z'
loop_
_atom_site_label
_atom_site_fract_x
_atom_site_fract_y
_atom_site_fract_z
Sr1 0.000 0.500 0.000
B1 0.000 0.000 0.000
Pt1 0.000 0.000 0.500
Pt2 0.500 0.000 0.000
Ni1 0.500 0.500 0.500
```

Preferred: run a; penalty for the next structure: 38.9 kJ/mol of atoms.

Run a
Compound: PuNi4B4
Source: the Alexandria database
Functional: PBE-GGA
Structure: optimized geometry

Values from the calculation:
Density, Mg/m³: 9.06
Total magnetization, Bohr magnetons per cell: 10.8

Structure (CIF):
```
data_PuNi4B4
_space_group_name_H-M_alt 'P 1'
_space_group_IT_number 1
_cell_length_a 3.744
_cell_length_b 7.149
_cell_length_c 7.149
_cell_angle_alpha 90.00
_cell_angle_beta 90.00
_cell_angle_gamma 90.00
loop_
_space_group_symop_operation_xyz
'x,y,z'
loop_
_atom_site_label
_atom_site_fract_x
_atom_site_fract_y
_atom_site_fract_z
Pu1 0.000 0.000 0.000
Pu2 0.500 0.500 0.500
Ni1 0.400 0.356 0.895
Ni2 0.900 0.605 0.856
Ni3 0.400 0.644 0.105
Ni4 0.100 0.144 0.605
Ni5 0.600 0.895 0.644
Ni6 0.100 0.856 0.395
Ni7 0.900 0.395 0.144
Ni8 0.600 0.105 0.356
B1 0.599 0.832 0.292
B2 0.599 0.168 0.708
B3 0.099 0.792 0.668
B4 0.901 0.332 0.792
B5 0.901 0.668 0.208
B6 0.401 0.292 0.168
B7 0.401 0.708 0.832
B8 0.099 0.208 0.332
```

Run b
Compound: PuNi4B4
Source: the Alexandria database
Functional: PBE-GGA
Structure: optimized geometry

Values from the calculation:
Density, Mg/m³: 9.54
Total magnetization, Bohr magnetons per cell: 9.9

Structure (CIF):
```
data_PuNi4B4
_space_group_name_H-M_alt 'P 1'
_space_group_IT_number 1
_cell_length_a 5.053
_cell_length_b 5.053
_cell_length_c 7.120
_cell_angle_alpha 90.00
_cell_angle_beta 90.00
_cell_angle_gamma 90.00
loop_
_space_group_symop_operation_xyz
'x,y,z'
loop_
_atom_site_label
_atom_site_fract_x
_atom_site_fract_y
_atom_site_fract_z
Pu1 0.000 0.000 0.000
Pu2 0.500 0.500 0.500
Ni1 0.250 0.500 0.866
Ni2 0.750 0.500 0.866
Ni3 0.500 0.750 0.134
Ni4 0.500 0.250 0.134
Ni5 0.000 0.750 0.366
Ni6 0.000 0.250 0.366
Ni7 0.250 0.000 0.634
Ni8 0.750 0.000 0.634
B1 0.500 0.830 0.839
B2 0.500 0.170 0.839
B3 0.830 0.500 0.161
B4 0.170 0.500 0.161
B5 0.330 0.000 0.339
B6 0.670 0.000 0.339
B7 0.000 0.330 0.661
B8 0.000 0.670 0.661
```

Preferred: run a; penalty for the next structure: 0.6 kJ/mol of atoms.

Run a
Compound: RbNiB3
Source: the Alexandria database
Functional: PBE-GGA
Structure: optimized geometry

Values from the calculation:
Density, Mg/m³: 2.77
Total magnetization, Bohr magnetons per cell: 0.9

Structure (CIF):
```
data_RbNiB3
_space_group_name_H-M_alt 'P 1'
_space_group_IT_number 1
_cell_length_a 4.730
_cell_length_b 4.730
_cell_length_c 4.730
_cell_angle_alpha 90.00
_cell_angle_beta 90.00
_cell_angle_gamma 90.00
loop_
_space_group_symop_operation_xyz
'x,y,z'
loop_
_atom_site_label
_atom_site_fract_x
_atom_site_fract_y
_atom_site_fract_z
Ni1 0.500 0.500 0.500
B1 0.000 0.500 0.000
B2 0.000 0.000 0.500
B3 0.500 0.000 0.000
Rb1 0.000 0.000 0.000
```

Run b
Compound: RbNiB3
Source: the Alexandria database
Functional: PBE-GGA
Structure: optimized geometry

Values from the calculation:
Density, Mg/m³: 4.36
Total magnetization, Bohr magnetons per cell: 0.0

Structure (CIF):
```
data_RbNiB3
_space_group_name_H-M_alt 'P 1'
_space_group_IT_number 1
_cell_length_a 4.066
_cell_length_b 4.066
_cell_length_c 4.066
_cell_angle_alpha 90.00
_cell_angle_beta 90.00
_cell_angle_gamma 90.00
loop_
_space_group_symop_operation_xyz
'x,y,z'
loop_
_atom_site_label
_atom_site_fract_x
_atom_site_fract_y
_atom_site_fract_z
Ni1 0.000 0.000 0.000
B1 0.000 0.500 0.000
B2 0.000 0.000 0.500
B3 0.500 0.000 0.000
Rb1 0.500 0.500 0.500
```

Preferred: run b; penalty for the next structure: 236.7 kJ/mol of atoms.

Run a
Compound: RbNi3B
Source: the Alexandria database
Functional: PBE-GGA
Structure: optimized geometry

Values from the calculation:
Density, Mg/m³: 6.42
Total magnetization, Bohr magnetons per cell: 0.0

Structure (CIF):
```
data_RbNi3B
_space_group_name_H-M_alt 'P 1'
_space_group_IT_number 1
_cell_length_a 4.130
_cell_length_b 4.130
_cell_length_c 4.130
_cell_angle_alpha 90.00
_cell_angle_beta 90.00
_cell_angle_gamma 90.00
loop_
_space_group_symop_operation_xyz
'x,y,z'
loop_
_atom_site_label
_atom_site_fract_x
_atom_site_fract_y
_atom_site_fract_z
Ni1 0.000 0.500 0.000
Ni2 0.000 0.000 0.500
Ni3 0.500 0.000 0.000
B1 0.000 0.000 0.000
Rb1 0.500 0.500 0.500
```

Run b
Compound: RbNi3B
Source: the Alexandria database
Functional: PBE-GGA
Structure: optimized geometry

Values from the calculation:
Density, Mg/m³: 4.60
Total magnetization, Bohr magnetons per cell: 0.0

Structure (CIF):
```
data_RbNi3B
_space_group_name_H-M_alt 'P 1'
_space_group_IT_number 1
_cell_length_a 4.617
_cell_length_b 4.617
_cell_length_c 4.617
_cell_angle_alpha 90.00
_cell_angle_beta 90.00
_cell_angle_gamma 90.00
loop_
_space_group_symop_operation_xyz
'x,y,z'
loop_
_atom_site_label
_atom_site_fract_x
_atom_site_fract_y
_atom_site_fract_z
Ni1 0.000 0.500 0.000
Ni2 0.000 0.000 0.500
Ni3 0.500 0.000 0.000
B1 0.500 0.500 0.500
Rb1 0.000 0.000 0.000
```

Preferred: run a; penalty for the next structure: 230.3 kJ/mol of atoms.